Record 1
Density functional theory data (PBE) for crystalline MnHRuAu at its relaxed geometry.

Geometry as CIF:
```
data_MnHRuAu
_chemical_formula_sum 'Mn1 H1 Ru1 Au1'
_symmetry_space_group_name_H-M 'P 1'
_symmetry_Int_Tables_number 1
_cell_length_a 2.7698
_cell_length_b 2.7698
_cell_length_c 7.2764
_cell_angle_alpha 90.00
_cell_angle_beta 90.00
_cell_angle_gamma 120.00
loop_
_symmetry_equiv_pos_as_xyz
'x,y,z'
loop_
_atom_site_label
_atom_site_fract_x
_atom_site_fract_y
_atom_site_fract_z
Mn1 0.0000 0.0000 0.0000
H1 0.3333 0.6667 0.9217
Ru1 0.0000 0.0000 0.2952
Au1 0.6667 0.3333 0.6370
```

energy above the most stable polymorph in this dataset = 190 meV per atom
crystal system = trigonal
Fermi-level density of states = 3.41 states/eV/cell

Record 2
Density functional theory data (PBE) for crystalline LiPrZnAu at its relaxed geometry.

Geometry as CIF:
```
data_LiPrZnAu
_chemical_formula_sum 'Li1 Pr1 Zn1 Au1'
_symmetry_space_group_name_H-M 'P 1'
_symmetry_Int_Tables_number 1
_cell_length_a 4.9801
_cell_length_b 4.9801
_cell_length_c 4.9801
_cell_angle_alpha 60.00
_cell_angle_beta 60.00
_cell_angle_gamma 60.00
loop_
_symmetry_equiv_pos_as_xyz
'x,y,z'
loop_
_atom_site_label
_atom_site_fract_x
_atom_site_fract_y
_atom_site_fract_z
Li1 0.0000 0.0000 0.0000
Pr1 0.5000 0.5000 0.5000
Zn1 0.7500 0.7500 0.7500
Au1 0.2500 0.2500 0.2500
```

crystal system = cubic
Fermi-level density of states = 3.14 states/eV/cell
ΔH_f (0 K) = -0.440 eV per atom